Density functional theory data (PBE-GGA) for BeRhSe4 after structural relaxation.

```
BeRhSe4
1.0
0.000 3.907 3.907
3.907 0.000 3.907
3.907 3.907 0.000
Be Rh Se
1 1 4
Direct
0.000 0.000 0.000
0.750 0.750 0.750
0.375 0.375 0.375
0.375 0.375 0.874
0.375 0.874 0.375
0.874 0.375 0.375
```

The calculation puts the mass density at 5953 kg/m3. Its density of states at the Fermi level is 6.25 states/eV per cell. The value obtained for the uncorrected formation energy is 1079 meV/atom. The total energy comes out at -3.091 eV per atom.